# Ce2Al3Zn5 PBE-GGA optimized geometry
data_Ce2Al3Zn5
_chemical_formula_sum 'Ce2 Al3 Zn5'
_space_group_name_H-M_alt 'P -4 m 2'
_space_group_IT_number 115
_cell_length_a 4.279
_cell_length_b 4.279
_cell_length_c 10.559
_cell_angle_alpha 90.00
_cell_angle_beta 90.00
_cell_angle_gamma 90.00
loop_
_space_group_symop_operation_xyz
'x,y,z'
'y,-x,-z'
'-x,-y,z'
'-y,x,-z'
'-x,y,z'
'-y,-x,-z'
'x,-y,z'
'y,x,-z'
loop_
_atom_site_label
_atom_site_type_symbol
_atom_site_fract_x
_atom_site_fract_y
_atom_site_fract_z
Ce1 Ce 0.000 0.500 0.245
Al1 Al 0.000 0.500 0.643
Al2 Al 0.500 0.500 0.500
Zn1 Zn 0.000 0.000 0.000
Zn2 Zn 0.000 0.000 0.500
Zn3 Zn 0.000 0.500 0.874
Zn4 Zn 0.500 0.500 0.000
# Energy relative to the lowest polymorph listed for this composition = 0.27 eV per formula unit
# Crystal system = tetragonal

***

# Ce4Al3Zn4 PBE-GGA optimized geometry
data_Ce4Al3Zn4
_chemical_formula_sum 'Ce8 Al6 Zn8'
_space_group_name_H-M_alt 'I m m m'
_space_group_IT_number 71
_space_group_name_Hall '-I 2 2'
_cell_length_a 2.916
_cell_length_b 8.356
_cell_length_c 18.628
_cell_angle_alpha 90.00
_cell_angle_beta 90.00
_cell_angle_gamma 90.00
loop_
_atom_site_label
_atom_site_type_symbol
_atom_site_fract_x
_atom_site_fract_y
_atom_site_fract_z
Ce1 Ce 0.000 0.162 0.147
Al1 Al 0.000 0.000 0.401
Al2 Al 0.000 0.500 0.500
Zn1 Zn 0.000 0.319 0.000
Zn2 Zn 0.000 0.500 0.221
# Crystal system = orthorhombic

***

Number 1: raw total energy -3.25 eV/atom. Number 2: raw total energy -3.74 eV/atom.